# UTcI | the Alexandria database | GGA-PBE | relaxed
# Raw formation energy (eV/f.u.): -0.67
# M_tot (μB/cell): 1.9
# DFT total energy (eV/f.u.): -23.87
# V (Å³/cell): 161.8
data_UTcI
_symmetry_space_group_name_H-M 'P -1'
_symmetry_Int_Tables_number 2
_cell_length_a 3.721
_cell_length_b 3.892
_cell_length_c 11.376
_cell_angle_alpha 84.38
_cell_angle_beta 80.76
_cell_angle_gamma 89.90
loop_
_symmetry_equiv_pos_as_xyz
'x,y,z'
'-x,-y,-z'
loop_
_atom_site_label
_atom_site_fract_x
_atom_site_fract_y
_atom_site_fract_z
U1 0.064 0.286 0.367
Tc1 0.451 0.203 0.602
I1 0.334 0.319 0.842



# Ca2TaPd | the Alexandria database | GGA-PBE | relaxed
# M_tot (μB/cell): 5.5
# Energy of formation from the pure elements (eV per atom): 0.622
# DFT total energy (eV/f.u.): -18.56
# Distance to the lowest polymorph of the same formula (meV per atom): 66
# V (Å³/cell): 400.1
data_Ca2TaPd
_symmetry_space_group_name_H-M 'I -4 2 d'
_symmetry_Int_Tables_number 122
_symmetry_space_group_name_Hall 'I -4 2bw'
_cell_length_a 8.353
_cell_length_b 8.353
_cell_length_c 5.735
_cell_angle_alpha 90.00
_cell_angle_beta 90.00
_cell_angle_gamma 90.00
loop_
_atom_site_label
_atom_site_fract_x
_atom_site_fract_y
_atom_site_fract_z
Ca1 0.199 0.250 0.125
Ta1 0.000 0.000 0.500
Pd1 0.000 0.000 0.000